Entry 1:
# PBE-GGA Tm2PaTl3S6, optimized geometry
# - Energy relative to the elements, uncorrected: -16.215 eV per formula unit
# - Magnetization: 0.54 μB per formula unit
# - VASP energy: -5.54 eV per atom
data_Tm2PaTl3S6
_symmetry_space_group_name_H-M 'P 1'
_symmetry_Int_Tables_number 1
_cell_length_a 6.784
_cell_length_b 6.784
_cell_length_c 8.687
_cell_angle_alpha 97.48
_cell_angle_beta 97.48
_cell_angle_gamma 119.76
loop_
_symmetry_equiv_pos_as_xyz
'x,y,z'
loop_
_atom_site_label
_atom_site_type_symbol
_atom_site_fract_x
_atom_site_fract_y
_atom_site_fract_z
Tm1 Tm 0.166 0.834 0.000
Tm2 Tm 0.834 0.166 0.000
Pa1 Pa 0.500 0.500 0.000
Tl1 Tl 0.182 0.818 0.500
Tl2 Tl 0.500 0.500 0.500
Tl3 Tl 0.818 0.182 0.500
S1 S 0.111 0.111 0.823
S2 S 0.226 0.557 0.175
S3 S 0.443 0.774 0.825
S4 S 0.557 0.226 0.175
S5 S 0.774 0.443 0.825
S6 S 0.889 0.889 0.177

***

Entry 2:
# PBE-GGA U2PaTl2S6, optimized geometry
# - Energy relative to the elements, uncorrected: -13.062 eV per formula unit
# - Magnetization: 7.02 μB per formula unit
# - VASP energy: -6.78 eV per atom
data_U2PaTl2S6
_symmetry_space_group_name_H-M 'P 1'
_symmetry_Int_Tables_number 1
_cell_length_a 6.911
_cell_length_b 6.911
_cell_length_c 8.017
_cell_angle_alpha 98.35
_cell_angle_beta 98.35
_cell_angle_gamma 119.99
loop_
_symmetry_equiv_pos_as_xyz
'x,y,z'
loop_
_atom_site_label
_atom_site_type_symbol
_atom_site_fract_x
_atom_site_fract_y
_atom_site_fract_z
U1 U 0.166 0.834 0.000
U2 U 0.834 0.166 0.000
Pa1 Pa 0.500 0.500 0.000
Tl1 Tl 0.331 0.669 0.500
Tl2 Tl 0.669 0.331 0.500
S1 S 0.103 0.436 0.805
S2 S 0.237 0.237 0.197
S3 S 0.436 0.103 0.805
S4 S 0.564 0.897 0.195
S5 S 0.763 0.763 0.803
S6 S 0.897 0.564 0.195

***

Entry 3:
# PBE-GGA UPa2TlS8, optimized geometry
# - Energy relative to the elements, uncorrected: -14.569 eV per formula unit
# - Magnetization: 1.04 μB per formula unit
# - VASP energy: -6.69 eV per atom
data_UPa2TlS8
_symmetry_space_group_name_H-M 'P 1'
_symmetry_Int_Tables_number 1
_cell_length_a 6.202
_cell_length_b 8.370
_cell_length_c 6.429
_cell_angle_alpha 90.00
_cell_angle_beta 91.28
_cell_angle_gamma 90.00
loop_
_symmetry_equiv_pos_as_xyz
'x,y,z'
loop_
_atom_site_label
_atom_site_type_symbol
_atom_site_fract_x
_atom_site_fract_y
_atom_site_fract_z
U1 U 0.000 0.000 0.000
Pa1 Pa 0.500 0.251 0.500
Pa2 Pa 0.500 0.749 0.500
Tl1 Tl 0.000 0.500 0.000
S1 S 0.240 0.218 0.172
S2 S 0.240 0.782 0.172
S3 S 0.279 0.000 0.669
S4 S 0.287 0.500 0.632
S5 S 0.713 0.500 0.368
S6 S 0.721 0.000 0.331
S7 S 0.760 0.218 0.828
S8 S 0.760 0.782 0.828

***

Entry 4:
# PBE-GGA U3PaTl4S12, optimized geometry
# - Energy relative to the elements, uncorrected: -20.752 eV per formula unit
# - Magnetization: 3.01 μB per formula unit
# - VASP energy: -6.16 eV per atom
data_U3PaTl4S12
_symmetry_space_group_name_H-M 'P 1'
_symmetry_Int_Tables_number 1
_cell_length_a 9.031
_cell_length_b 9.031
_cell_length_c 9.031
_cell_angle_alpha 109.47
_cell_angle_beta 109.47
_cell_angle_gamma 109.47
loop_
_symmetry_equiv_pos_as_xyz
'x,y,z'
loop_
_atom_site_label
_atom_site_type_symbol
_atom_site_fract_x
_atom_site_fract_y
_atom_site_fract_z
U1 U 0.000 0.500 0.500
U2 U 0.500 0.000 0.500
U3 U 0.500 0.500 0.000
Pa1 Pa 0.000 0.000 0.000
Tl1 Tl 0.000 0.000 0.500
Tl2 Tl 0.000 0.500 0.000
Tl3 Tl 0.500 0.000 0.000
Tl4 Tl 0.500 0.500 0.500
S1 S 0.000 0.251 0.251
S2 S 0.000 0.749 0.749
S3 S 0.250 0.500 0.750
S4 S 0.250 0.750 0.500
S5 S 0.251 0.000 0.251
S6 S 0.251 0.251 0.000
S7 S 0.500 0.250 0.750
S8 S 0.500 0.750 0.250
S9 S 0.749 0.000 0.749
S10 S 0.749 0.749 0.000
S11 S 0.750 0.250 0.500
S12 S 0.750 0.500 0.250